# RbDyMo2O8 PBE+U relaxed
data_RbDyMo2O8
_chemical_formula_sum 'Rb4 Dy4 Mo8 O32'
_cell_length_a 10.8525
_cell_length_b 10.4830
_cell_length_c 7.7984
_cell_angle_alpha 90.00
_cell_angle_beta 130.98
_cell_angle_gamma 90.00
_symmetry_space_group_name_H-M 'C 1 2/c 1'
_symmetry_Int_Tables_number 15
loop_
_symmetry_equiv_pos_as_xyz
'x,y,z'
'-x,-y,-z'
'-x,y,-z+1/2'
'x,-y,z+1/2'
'x+1/2,y+1/2,z'
'-x+1/2,-y+1/2,-z'
'-x+1/2,y+1/2,-z+1/2'
'x+1/2,-y+1/2,z+1/2'
loop_
_atom_site_label
_atom_site_type_symbol
_atom_site_fract_x
_atom_site_fract_y
_atom_site_fract_z
Rb1 Rb 0.0000 0.1945 0.2500
Dy1 Dy 0.0000 0.2284 0.7500
Mo1 Mo 0.1942 0.4990 0.2355
O1 O 0.0219 0.3913 0.9655
O2 O 0.1316 0.0810 0.7000
O3 O 0.1884 0.4225 0.4339
O4 O 0.2228 0.1554 0.1220
# Electronic total energy ... -7.105 eV/atom
# Crystal system ... monoclinic